DFT (PBE) results for crystalline Dy2Y2Ho2Tm at its relaxed geometry.

```
data_Dy2Y2Ho2Tm
_chemical_formula_sum 'Dy6 Y6 Ho6 Tm3'
_cell_length_a 5.6370
_cell_length_b 5.6370
_cell_length_c 24.3161
_cell_angle_alpha 90.00
_cell_angle_beta 90.00
_cell_angle_gamma 120.00
_symmetry_space_group_name_H-M 'R -3 m'
_symmetry_Int_Tables_number 166
_symmetry_space_group_name_Hall '-R 3 2"'
loop_
_atom_site_label
_atom_site_type_symbol
_atom_site_fract_x
_atom_site_fract_y
_atom_site_fract_z
_atom_site_occupancy
Dy1 Dy 0.0000 0.0000 0.2132 1
Y1 Y 0.0000 0.0000 0.3582 1
Ho1 Ho 0.0000 0.0000 0.0711 1
Tm1 Tm 0.0000 0.0000 0.5000 1
```

Summary:
**Energy relative to the elements**: 138 meV per atom

***

DFT (PBE) results for crystalline DyHoTmZn at its relaxed geometry.

```
data_DyHoTmZn
_chemical_formula_sum 'Dy1 Ho1 Tm1 Zn1'
_cell_length_a 3.535
_cell_length_b 3.535
_cell_length_c 8.556
_cell_angle_alpha 90.00
_cell_angle_beta 90.00
_cell_angle_gamma 90.00
_symmetry_space_group_name_H-M 'P 4 m m'
_symmetry_Int_Tables_number 99
loop_
_symmetry_equiv_pos_as_xyz
'x,y,z'
'-y,x,z'
'-x,-y,z'
'y,-x,z'
'-x,y,z'
'y,x,z'
'x,-y,z'
'-y,-x,z'
loop_
_atom_site_label
_atom_site_type_symbol
_atom_site_fract_x
_atom_site_fract_y
_atom_site_fract_z
_atom_site_occupancy
Dy1 Dy 0.000 0.000 0.000 1
Ho1 Ho 0.500 0.500 0.705 1
Tm1 Tm 0.500 0.500 0.293 1
Zn1 Zn 0.000 0.000 0.495 1
```

Summary:
**Energy above the lowest structure with this stoichiometry**: 0.00 eV/f.u.
**Energy relative to the elements**: -163 meV per atom

***

Question: Among the records above, which one has the lowest energy relative to the elements?
Answer: DyHoTmZn